(1)
# V3HgH

Crystalline V3HgH at its relaxed geometry (GGA-PBE, Alexandria).

Structure (extended XYZ):
```
5
Lattice="3.956 0.000 0.000 0.000 3.956 0.000 0.000 0.000 3.956" Properties=species:S:1:pos:R:3 pbc="T T T"
V 0.000 0.000 1.978
V 0.000 1.978 0.000
V 1.978 0.000 0.000
Hg 1.978 1.978 1.978
H 0.000 0.000 0.000
```

The calculation puts the excess energy over the best structure of this formula in the dataset at 0.0 kJ/mol of formula units. The space-group type is Pm-3m (221). The total energy comes out at -30.5 eV per cell.

(2)
# VHg2H

Crystalline VHg2H at its relaxed geometry (GGA-PBE, Alexandria).

Structure (extended XYZ):
```
16
Lattice="6.624 0.000 0.000 0.000 6.624 0.000 0.000 0.000 6.624" Properties=species:S:1:pos:R:3 pbc="T T T"
V 0.000 0.000 0.000
V 0.000 3.312 3.312
V 3.312 0.000 3.312
V 3.312 3.312 0.000
Hg 1.656 1.656 1.656
Hg 1.656 1.656 4.968
Hg 1.656 4.968 1.656
Hg 1.656 4.968 4.968
Hg 4.968 1.656 1.656
Hg 4.968 1.656 4.968
Hg 4.968 4.968 1.656
Hg 4.968 4.968 4.968
H 0.000 0.000 3.312
H 0.000 3.312 0.000
H 3.312 0.000 0.000
H 3.312 3.312 3.312
```

The calculation puts the excess energy over the best structure of this formula in the dataset at 86.7 kJ/mol of formula units. The space-group type is Fm-3m (225). The total energy comes out at -38.6 eV per cell.

(3)
# V2Hg2H

Crystalline V2Hg2H at its relaxed geometry (GGA-PBE, Alexandria).

Structure (extended XYZ):
```
10
Lattice="3.310 0.000 0.000 0.000 3.310 0.000 0.000 0.000 15.288" Properties=species:S:1:pos:R:3 pbc="T T T"
V 0.000 1.655 3.822
V 0.000 1.655 11.466
V 1.655 0.000 3.822
V 1.655 0.000 11.466
Hg 0.000 0.000 1.401
Hg 0.000 0.000 13.887
Hg 1.655 1.655 6.243
Hg 1.655 1.655 9.045
H 0.000 0.000 7.644
H 1.655 1.655 0.000
```

The calculation puts the excess energy over the best structure of this formula in the dataset at 0.0 kJ/mol of formula units. The space-group type is I4/mmm (139). The total energy comes out at -37.5 eV per cell.

(4)
# VHgH3

Crystalline VHgH3 at its relaxed geometry (GGA-PBE, Alexandria).

Structure (extended XYZ):
```
5
Lattice="3.833 0.000 0.000 0.000 3.833 0.000 0.000 0.000 3.833" Properties=species:S:1:pos:R:3 pbc="T T T"
V 0.000 0.000 0.000
Hg 1.916 1.916 1.916
H 0.000 1.916 1.916
H 1.916 0.000 1.916
H 1.916 1.916 0.000
```

The calculation puts the excess energy over the best structure of this formula in the dataset at 301.7 kJ/mol of formula units. The space-group type is Pm-3m (221). The total energy comes out at -15.0 eV per cell.

(5)
# VHgH2

Crystalline VHgH2 at its relaxed geometry (GGA-PBE, Alexandria).

Structure (extended XYZ):
```
16
Lattice="5.637 0.000 0.000 0.000 5.637 0.000 0.000 0.000 5.637" Properties=species:S:1:pos:R:3 pbc="T T T"
V 0.000 0.000 0.000
V 0.000 2.819 2.819
V 2.819 0.000 2.819
V 2.819 2.819 0.000
Hg 0.000 0.000 2.819
Hg 0.000 2.819 0.000
Hg 2.819 0.000 0.000
Hg 2.819 2.819 2.819
H 1.409 1.409 1.409
H 1.409 1.409 4.228
H 1.409 4.228 1.409
H 1.409 4.228 4.228
H 4.228 1.409 1.409
H 4.228 1.409 4.228
H 4.228 4.228 1.409
H 4.228 4.228 4.228
```

The calculation puts the excess energy over the best structure of this formula in the dataset at 142.8 kJ/mol of formula units. The space-group type is Fm-3m (225). The total energy comes out at -53.1 eV per cell.

(6)
# HgHW2

Crystalline HgHW2 at its relaxed geometry (GGA-PBE, Alexandria).

Structure (extended XYZ):
```
16
Lattice="6.231 0.000 0.000 0.000 6.231 0.000 0.000 0.000 6.231" Properties=species:S:1:pos:R:3 pbc="T T T"
Hg 0.000 0.000 0.000
Hg 0.000 3.115 3.115
Hg 3.115 0.000 3.115
Hg 3.115 3.115 0.000
H 0.000 0.000 3.115
H 0.000 3.115 0.000
H 3.115 0.000 0.000
H 3.115 3.115 3.115
W 1.558 1.558 1.558
W 1.558 1.558 4.673
W 1.558 4.673 1.558
W 1.558 4.673 4.673
W 4.673 1.558 1.558
W 4.673 1.558 4.673
W 4.673 4.673 1.558
W 4.673 4.673 4.673
```

The calculation puts the excess energy over the best structure of this formula in the dataset at 227.7 kJ/mol of formula units. The space-group type is Fm-3m (225). The total energy comes out at -93.0 eV per cell.

(7)
# Hg2HW

Crystalline Hg2HW at its relaxed geometry (GGA-PBE, Alexandria).

Structure (extended XYZ):
```
16
Lattice="6.606 0.000 0.000 0.000 6.606 0.000 0.000 0.000 5.895" Properties=species:S:1:pos:R:3 pbc="T T T"
Hg 1.139 1.652 0.737
Hg 1.652 4.442 2.211
Hg 1.652 5.467 5.158
Hg 2.164 1.652 3.684
Hg 4.442 4.955 3.684
Hg 4.955 1.139 5.158
Hg 4.955 2.164 2.211
Hg 5.467 4.955 0.737
H 0.000 0.000 0.000
H 0.000 3.303 1.474
H 3.303 0.000 4.421
H 3.303 3.303 2.948
W 0.000 0.000 2.948
W 0.000 3.303 4.421
W 3.303 0.000 1.474
W 3.303 3.303 0.000
```

The calculation puts the excess energy over the best structure of this formula in the dataset at 0.0 kJ/mol of formula units. The space-group type is I-42d (122). The total energy comes out at -48.8 eV per cell.

(8)
# Hg3HW

Crystalline Hg3HW at its relaxed geometry (GGA-PBE, Alexandria).

Structure (extended XYZ):
```
5
Lattice="5.528 0.000 0.000 0.000 5.528 0.000 0.000 0.000 5.528" Properties=species:S:1:pos:R:3 pbc="T T T"
Hg 0.000 0.000 2.764
Hg 0.000 2.764 0.000
Hg 2.764 0.000 0.000
H 2.764 2.764 2.764
W 0.000 0.000 0.000
```

The calculation puts the excess energy over the best structure of this formula in the dataset at 132.3 kJ/mol of formula units. The space-group type is Pm-3m (221). The total energy comes out at -10.4 eV per cell.

(9)
# Hg2HW4

Crystalline Hg2HW4 at its relaxed geometry (GGA-PBE, Alexandria).

Structure (extended XYZ):
```
14
Lattice="4.091 0.000 0.000 0.000 4.091 0.000 0.000 0.000 13.707" Properties=species:S:1:pos:R:3 pbc="T T T"
Hg 0.000 0.000 2.194
Hg 0.000 0.000 11.513
Hg 2.046 2.046 4.660
Hg 2.046 2.046 9.047
H 0.000 0.000 6.854
H 2.046 2.046 0.000
W 0.000 0.000 4.976
W 0.000 0.000 8.731
W 0.000 2.046 0.000
W 0.000 2.046 6.854
W 2.046 0.000 0.000
W 2.046 0.000 6.854
W 2.046 2.046 1.878
W 2.046 2.046 11.829
```

The space-group type is I4/mmm (139). The total energy comes out at -100.8 eV per cell.

(10)
# HgHW3

Crystalline HgHW3 at its relaxed geometry (GGA-PBE, Alexandria).

Structure (extended XYZ):
```
5
Lattice="4.103 0.000 0.000 0.000 4.103 0.000 0.000 0.000 4.103" Properties=species:S:1:pos:R:3 pbc="T T T"
Hg 0.000 0.000 0.000
H 2.051 2.051 2.051
W 0.000 2.051 2.051
W 2.051 0.000 2.051
W 2.051 2.051 0.000
```

The calculation puts the excess energy over the best structure of this formula in the dataset at 0.0 kJ/mol of formula units. The space-group type is Pm-3m (221). The total energy comes out at -39.8 eV per cell.

(11)
# Hg2HW

Crystalline Hg2HW at its relaxed geometry (GGA-PBE, Alexandria).

Structure (extended XYZ):
```
16
Lattice="6.601 0.000 0.000 0.000 6.601 0.000 0.000 0.000 6.601" Properties=species:S:1:pos:R:3 pbc="T T T"
Hg 1.650 1.650 1.650
Hg 1.650 1.650 4.951
Hg 1.650 4.951 1.650
Hg 1.650 4.951 4.951
Hg 4.951 1.650 1.650
Hg 4.951 1.650 4.951
Hg 4.951 4.951 1.650
Hg 4.951 4.951 4.951
H 0.000 0.000 0.000
H 0.000 3.300 3.300
H 3.300 0.000 3.300
H 3.300 3.300 0.000
W 0.000 0.000 3.300
W 0.000 3.300 0.000
W 3.300 0.000 0.000
W 3.300 3.300 3.300
```

The calculation puts the excess energy over the best structure of this formula in the dataset at 130.4 kJ/mol of formula units. The space-group type is Fm-3m (225). The total energy comes out at -43.4 eV per cell.

(12)
# HgHW2

Crystalline HgHW2 at its relaxed geometry (GGA-PBE, Alexandria).

Structure (extended XYZ):
```
16
Lattice="5.246 0.000 0.000 0.000 5.246 0.000 0.000 0.000 9.131" Properties=species:S:1:pos:R:3 pbc="T T T"
Hg 0.000 1.312 3.424
Hg 0.000 3.935 5.707
Hg 2.623 1.312 1.141
Hg 2.623 3.935 7.990
H 0.000 1.312 7.990
H 0.000 3.935 1.141
H 2.623 1.312 5.707
H 2.623 3.935 3.424
W 0.000 0.000 0.000
W 0.000 2.623 0.000
W 1.312 1.312 6.848
W 1.312 3.935 2.283
W 2.623 0.000 4.566
W 2.623 2.623 4.566
W 3.935 1.312 6.848
W 3.935 3.935 2.283
```

The calculation puts the excess energy over the best structure of this formula in the dataset at 0.0 kJ/mol of formula units. The space-group type is I4_1/amd (141). The total energy comes out at -102.5 eV per cell.

(13)
# Hg3HW

Crystalline Hg3HW at its relaxed geometry (GGA-PBE, Alexandria).

Structure (extended XYZ):
```
5
Lattice="4.371 0.000 0.000 0.000 4.371 0.000 0.000 0.000 4.371" Properties=species:S:1:pos:R:3 pbc="T T T"
Hg 0.000 0.000 2.186
Hg 0.000 2.186 0.000
Hg 2.186 0.000 0.000
H 0.000 0.000 0.000
W 2.186 2.186 2.186
```

The calculation puts the excess energy over the best structure of this formula in the dataset at 0.0 kJ/mol of formula units. The space-group type is Pm-3m (221). The total energy comes out at -11.7 eV per cell.

(14)
# Y3Hg2H

Crystalline Y3Hg2H at its relaxed geometry (GGA-PBE, Alexandria).

Structure (extended XYZ):
```
12
Lattice="5.357 -3.541 0.000 5.357 3.541 0.000 -2.443 0.000 7.409" Properties=species:S:1:pos:R:3 pbc="T T T"
Y 3.525 2.839 5.557
Y 3.804 0.549 0.286
Y 2.583 -0.549 3.991
Y 5.689 0.549 3.418
Y 4.468 -0.549 7.123
Y 4.746 -2.839 1.852
Hg 2.611 2.160 2.613
Hg 6.882 2.160 1.091
Hg 1.389 -2.160 6.318
Hg 5.661 -2.160 4.796
H 3.525 0.645 5.557
H 4.746 -0.645 1.852
```

The space-group type is C2/c (15). The total energy comes out at -52.0 eV per cell.

(15)
# YHgH2

Crystalline YHgH2 at its relaxed geometry (GGA-PBE, Alexandria).

Structure (extended XYZ):
```
16
Lattice="4.716 0.000 0.000 0.000 4.716 0.000 0.000 0.000 12.120" Properties=species:S:1:pos:R:3 pbc="T T T"
Y 0.000 0.000 0.000
Y 0.000 2.358 3.030
Y 2.358 0.000 9.090
Y 2.358 2.358 6.060
Hg 0.000 0.000 6.060
Hg 0.000 2.358 9.090
Hg 2.358 0.000 3.030
Hg 2.358 2.358 0.000
H 0.664 1.179 1.515
H 1.179 3.022 4.545
H 1.179 4.051 10.605
H 1.693 1.179 7.575
H 3.022 3.537 7.575
H 3.537 0.664 10.605
H 3.537 1.693 4.545
H 4.051 3.537 1.515
```

The calculation puts the excess energy over the best structure of this formula in the dataset at 91.7 kJ/mol of formula units. The space-group type is I-42d (122). The total energy comes out at -57.1 eV per cell.

(16)
# YHgH2

Crystalline YHgH2 at its relaxed geometry (GGA-PBE, Alexandria).

Structure (extended XYZ):
```
4
Lattice="3.669 0.000 0.000 -1.835 3.177 0.000 0.000 0.000 5.246" Properties=species:S:1:pos:R:3 pbc="T T T"
Y 0.000 0.000 0.000
Hg 0.000 2.118 2.384
H 0.000 2.118 4.424
H 1.835 1.059 0.031
```

The calculation puts the excess energy over the best structure of this formula in the dataset at 0.2 kJ/mol of formula units. The space-group type is P3m1 (156). The total energy comes out at -15.2 eV per cell.

(17)
# Y2HgH3

Crystalline Y2HgH3 at its relaxed geometry (GGA-PBE, Alexandria).

Structure (extended XYZ):
```
12
Lattice="6.158 -1.840 0.000 6.158 1.840 0.000 -2.953 0.000 7.912" Properties=species:S:1:pos:R:3 pbc="T T T"
Y -0.389 0.000 1.711
Y 2.976 0.000 3.075
Y 6.387 0.000 4.837
Y 9.753 0.000 6.201
Hg 1.271 0.000 7.467
Hg 8.093 0.000 0.445
H -0.676 0.000 5.325
H 0.797 0.000 3.575
H 4.071 0.000 5.054
H 5.292 0.000 2.858
H 8.566 0.000 4.337
H 10.040 0.000 2.587
```

The space-group type is C2/m (12). The total energy comes out at -53.7 eV per cell.

(18)
# YHgH2

Crystalline YHgH2 at its relaxed geometry (GGA-PBE, Alexandria).

Structure (extended XYZ):
```
8
Lattice="3.595 0.000 0.000 0.007 5.186 0.000 0.025 1.457 6.427" Properties=species:S:1:pos:R:3 pbc="T T T"
Y 0.901 1.284 0.933
Y 2.726 5.358 5.495
Hg 0.918 2.308 3.927
Hg 2.709 4.334 2.501
H 0.905 4.471 0.168
H 0.929 4.008 5.559
H 2.698 2.634 0.868
H 2.722 2.171 6.260
```

The calculation puts the excess energy over the best structure of this formula in the dataset at 2.3 kJ/mol of formula units. The space-group type is P-1 (2). The total energy comes out at -30.4 eV per cell.

(19)
# Y12Hg3H5

Crystalline Y12Hg3H5 at its relaxed geometry (GGA-PBE, Alexandria).

Structure (extended XYZ):
```
80
Lattice="-7.776 7.776 7.776 7.776 -7.776 7.776 7.776 7.776 -7.776" Properties=species:S:1:pos:R:3 pbc="T T T"
Y 2.354 -0.648 0.856
Y 9.310 4.744 -4.536
Y 7.128 -0.856 2.354
Y 12.311 -1.534 3.032
Y 10.130 0.648 0.856
Y 9.310 -3.032 4.536
Y 0.856 2.354 -0.648
Y 10.808 3.240 -1.534
Y 4.744 4.536 -1.534
Y 6.920 2.354 0.648
Y -0.648 0.856 2.354
Y 4.536 -1.534 4.744
Y 7.128 6.920 -2.354
Y 4.536 1.534 3.032
Y 6.920 -2.354 7.128
Y 4.744 -4.536 9.310
Y 3.032 4.536 1.534
Y 8.632 5.422 0.648
Y 2.354 7.128 -0.856
Y 9.310 3.032 3.240
Y 4.536 9.310 -3.032
Y 7.128 0.856 5.422
Y 1.534 3.032 4.536
Y 2.354 0.648 6.920
Y 5.422 7.128 0.856
Y 6.242 4.744 3.240
Y 0.648 6.920 2.354
Y 3.240 -1.534 10.808
Y -1.534 4.744 4.536
Y 5.422 0.648 8.632
Y -0.856 2.354 7.128
Y 4.744 3.240 6.242
Y 3.032 12.311 -1.534
Y 0.856 10.130 0.648
Y 3.240 6.242 4.744
Y 0.648 0.856 10.130
Y 3.240 9.310 3.032
Y 8.424 6.920 5.422
Y 0.856 5.422 7.128
Y 3.032 3.240 9.310
Y -3.032 4.536 9.310
Y 6.920 5.422 8.424
Y -1.534 10.808 3.240
Y -2.354 7.128 6.920
Y -4.536 9.310 4.744
Y 0.648 8.632 5.422
Y -1.534 3.032 12.311
Y 5.422 8.424 6.920
Hg 3.888 1.944 0.000
Hg 7.776 3.888 -1.944
Hg 1.944 0.000 3.888
Hg 9.720 0.000 3.888
Hg 0.000 3.888 1.944
Hg 3.888 -1.944 7.776
Hg 3.888 9.720 0.000
Hg 7.776 3.888 5.832
Hg -1.944 7.776 3.888
Hg 5.832 7.776 3.888
Hg 0.000 3.888 9.720
Hg 3.888 5.832 7.776
H 0.000 0.000 0.000
H 3.888 3.888 -3.888
H 3.888 -3.888 3.888
H 7.776 0.000 0.000
H 11.664 1.944 0.000
H 7.776 -3.888 5.832
H 5.832 7.776 -3.888
H 5.832 0.000 3.888
H 3.888 5.832 0.000
H 7.776 3.888 1.944
H -3.888 3.888 3.888
H 0.000 7.776 0.000
H 0.000 0.000 7.776
H 3.888 3.888 3.888
H 0.000 3.888 5.832
H 3.888 1.944 7.776
H 1.944 7.776 3.888
H 1.944 0.000 11.664
H 0.000 11.664 1.944
H -3.888 5.832 7.776
```

The space-group type is Ia-3d (230). The total energy comes out at -404.2 eV per cell.

(20)
# Y2HgH2

Crystalline Y2HgH2 at its relaxed geometry (GGA-PBE, Alexandria).

Structure (extended XYZ):
```
10
Lattice="3.743 0.000 0.000 0.000 3.743 0.000 0.000 0.000 12.214" Properties=species:S:1:pos:R:3 pbc="T T T"
Y 0.000 0.000 1.833
Y 0.000 0.000 10.381
Y 1.871 1.871 4.274
Y 1.871 1.871 7.940
Hg 0.000 0.000 6.107
Hg 1.871 1.871 0.000
H 0.000 1.871 3.054
H 0.000 1.871 9.161
H 1.871 0.000 3.054
H 1.871 0.000 9.161
```

The space-group type is I4/mmm (139). The total energy comes out at -46.5 eV per cell.